Li6CaMg | PBE-GGA | relaxed

Calculated values
polymorph energy (0 for the lowest one)	0	meV/atom

Cell lengths 5.0536, 6.7727, 10.6576 Å; angles 90.00, 90.00, 90.00 degrees
Space group Amm2 (No. 38)
Symmetry-distinct sites (fractional):
Li 0.0000 0.0000 0.0000 (multiplicity 2)
Li 0.0000 0.2118 0.2458 (multiplicity 4)
Li 0.5000 0.0000 0.3256 (multiplicity 2)
Li 0.5000 0.2295 0.0506 (multiplicity 4)
Ca 0.5000 0.0000 0.7850 (multiplicity 2)
Mg 0.0000 0.0000 0.5109 (multiplicity 2)


Li4CaMg4 | PBE-GGA | relaxed

Calculated values
polymorph energy (0 for the lowest one)	19	meV/atom

Cell lengths 9.7546, 9.7546, 4.5057 Å; angles 90.00, 90.00, 90.00 degrees
Space group P4_2/nmc (No. 137, origin choice 2)
Symmetry-distinct sites (fractional):
Li 0.0690 0.5690 0.2500 (multiplicity 8)
Ca 0.2500 0.7500 0.7500 (multiplicity 2)
Mg 0.0898 0.2500 0.2485 (multiplicity 8)


Li5CaMg2 | PBE-GGA | relaxed

Cell lengths 3.3906, 9.3377, 12.1857 Å; angles 90.00, 90.00, 90.00 degrees
Space group Immm (No. 71)
Symmetry-distinct sites (fractional):
Li 0.0000 0.0000 0.0000 (multiplicity 2)
Li 0.0000 0.2842 0.3674 (multiplicity 8)
Ca 0.0000 0.5000 0.0000 (multiplicity 2)
Mg 0.0000 0.0000 0.2532 (multiplicity 4)


Li2Ca7Mg2 | PBE-GGA | relaxed

Calculated values
polymorph energy (0 for the lowest one)	159	meV/atom

Cell lengths 7.9704, 12.2698, 8.3565 Å; angles 90.00, 90.00, 90.00 degrees
Space group Cmmm (No. 65)
Symmetry-distinct sites (fractional):
Li 0.0000 0.2131 0.0000 (multiplicity 4)
Ca 0.0000 0.0000 0.2423 (multiplicity 4)
Ca 0.0000 0.5000 0.0000 (multiplicity 2)
Ca 0.2500 0.2500 0.2901 (multiplicity 8)
Mg 0.1792 0.5000 0.5000 (multiplicity 4)


Li4CaMg6 | PBE-GGA | relaxed

Cell lengths 7.1355, 7.1355, 10.4438 Å; angles 90.00, 90.00, 90.00 degrees
Space group I-42m (No. 121)
Symmetry-distinct sites (fractional):
Li 0.1514 0.1514 0.0741 (multiplicity 8)
Ca 0.0000 0.0000 0.5000 (multiplicity 2)
Mg 0.0000 0.5000 0.0000 (multiplicity 4)
Mg 0.2030 0.2030 0.7943 (multiplicity 8)


Li6CaMg4 | PBE-GGA | relaxed

Cell lengths 6.8215, 6.8215, 11.1597 Å; angles 90.00, 90.00, 90.00 degrees
Space group I-42m (No. 121)
Symmetry-distinct sites (fractional):
Li 0.0000 0.5000 0.0000 (multiplicity 4)
Li 0.1549 0.1549 0.4256 (multiplicity 8)
Ca 0.0000 0.0000 0.0000 (multiplicity 2)
Mg 0.2115 0.2115 0.7037 (multiplicity 8)


LiCaMg | PBE-GGA | relaxed

Calculated values
polymorph energy (0 for the lowest one)	42	meV/atom

Cell lengths 3.7170, 3.7170, 11.8426 Å; angles 90.00, 90.00, 90.00 degrees
Space group I4mm (No. 107)
Symmetry-distinct sites (fractional):
Li 0.0000 0.0000 0.0000 (multiplicity 2)
Ca 0.0000 0.0000 0.6863 (multiplicity 2)
Mg 0.0000 0.0000 0.3788 (multiplicity 2)


Li3CaMg3 | PBE-GGA | relaxed

Calculated values
polymorph energy (0 for the lowest one)	355	meV/atom

Cell lengths 7.3432, 7.3432, 7.3432 Å; angles 90.00, 90.00, 90.00 degrees
Space group Pm-3n (No. 223)
Symmetry-distinct sites (fractional):
Li 0.0000 0.2500 0.5000 (multiplicity 6)
Ca 0.0000 0.0000 0.0000 (multiplicity 2)
Mg 0.0000 0.5000 0.2500 (multiplicity 6)


ΔE_f for the records above, in order: 0.15, -0.02, 0.18, 1.88, 1.01, 1.13, -0.12, 2.60 eV/f.u.
Uncorrected energy for the records above, in order: -29.9, -32.1, -29.2, -38.3, -36.4, -37.5, -11.3, -19.9 eV per cell